(1)
A relaxed ScCuOs crystal, computed with GGA-PBE.

The structure in CIF format:
```
data_ScCuOs
_space_group_name_H-M_alt 'P n m a'
_space_group_IT_number 62
_cell_length_a 5.6574
_cell_length_b 4.2898
_cell_length_c 8.0374
_cell_angle_alpha 90.00
_cell_angle_beta 90.00
_cell_angle_gamma 90.00
loop_
_space_group_symop_operation_xyz
'x,y,z'
'-x,-y,-z'
'-x+1/2,-y,z+1/2'
'x+1/2,y,-z+1/2'
'x+1/2,-y+1/2,-z+1/2'
'-x+1/2,y+1/2,z+1/2'
'-x,y+1/2,-z'
'x,-y+1/2,z'
loop_
_atom_site_label
_atom_site_type_symbol
_atom_site_fract_x
_atom_site_fract_y
_atom_site_fract_z
Sc1 Sc 0.0797 0.2500 0.1478
Cu1 Cu 0.2299 0.2500 0.8149
Os1 Os 0.1080 0.2500 0.5039
```

Calculated values
- E above lowest polymorph (meV per atom) = 160
- formation energy (eV/atom) = -0.15
- DOS(E_F) (states/eV/cell) = 8.63
- magnetic moment (μB/cell) = 0.00
- E (eV/cell) = -88.5
- crystal system = orthorhombic



(2)
A relaxed PrSm2Dy4Sc crystal, computed with GGA-PBE.

The structure in CIF format:
```
data_PrSm2Dy4Sc
_space_group_name_H-M_alt 'P 1 2/m 1'
_space_group_IT_number 10
_cell_length_a 5.0171
_cell_length_b 5.0192
_cell_length_c 10.0557
_cell_angle_alpha 90.00
_cell_angle_beta 90.01
_cell_angle_gamma 90.00
loop_
_space_group_symop_operation_xyz
'x,y,z'
'-x,-y,-z'
'-x,y,-z'
'x,-y,z'
loop_
_atom_site_label
_atom_site_type_symbol
_atom_site_fract_x
_atom_site_fract_y
_atom_site_fract_z
Pr1 Pr 0.0000 0.0000 0.0000
Sm1 Sm 0.0000 0.0000 0.5000
Sm2 Sm 0.5000 0.5000 0.0000
Dy1 Dy 0.0013 0.5000 0.2574
Dy2 Dy 0.4991 0.0000 0.7426
Sc1 Sc 0.5000 0.5000 0.5000
```

Calculated values
- formation energy (eV/atom) = 0.03
- DOS(E_F) (states/eV/cell) = 11.52
- magnetic moment (μB/cell) = 0.00
- E (eV/cell) = -38.7
- crystal system = monoclinic



(3)
A relaxed BeNbSbPIr crystal, computed with GGA-PBE.

The structure in CIF format:
```
data_BeNbSbPIr
_space_group_name_H-M_alt 'C 1 m 1'
_space_group_IT_number 8
_cell_length_a 10.8904
_cell_length_b 2.9595
_cell_length_c 6.1403
_cell_angle_alpha 90.00
_cell_angle_beta 121.54
_cell_angle_gamma 90.00
loop_
_space_group_symop_operation_xyz
'x,y,z'
'x,-y,z'
'x+1/2,y+1/2,z'
'x+1/2,-y+1/2,z'
loop_
_atom_site_label
_atom_site_type_symbol
_atom_site_fract_x
_atom_site_fract_y
_atom_site_fract_z
Be1 Be 0.0000 0.0000 0.0000
Nb1 Nb 0.0261 0.5000 0.3815
Sb1 Sb 0.2639 0.5000 0.9673
P1 P 0.4233 0.5000 0.6051
Ir1 Ir 0.2328 0.0000 0.3228
```

Calculated values
- E above lowest polymorph (meV per atom) = 189
- DOS(E_F) (states/eV/cell) = 3.67
- magnetic moment (μB/cell) = 0.00
- E (eV/cell) = -66.4
- energy relative to the elements, uncorrected (eV per atom) = -0.20
- crystal system = monoclinic